YPuPb2, relaxed, DFT PBE-GGA; energy of formation = -1.00 eV per formula unit; ρ = 10.836 g/cm³; symmetry = Fm-3m, No. 225
1.0
-1.209 -2.303 4.790
3.978 -1.206 3.526
0.518 2.863 4.609
Pb Y Pu
2 1 1
direct
0.250 0.250 0.250
0.750 0.750 0.750
0.500 0.500 0.500
0.000 0.000 0.000

---

NiHgPdPt, relaxed, DFT PBE-GGA; energy of formation = 0.33 eV per formula unit; ρ = 14.621 g/cm³; symmetry = F-43m, No. 216
1.0
4.483 0.000 0.000
2.241 3.882 0.000
2.241 1.294 3.660
Ni Pd Hg Pt
1 1 1 1
direct
0.750 0.750 0.750
0.000 0.000 0.000
0.250 0.250 0.250
0.500 0.500 0.500

---

Li3Pr2AlCu12, relaxed, DFT PBE-GGA; energy of formation = 4.00 eV per formula unit; ρ = 5.273 g/cm³; symmetry = R-3m, No. 166
1.0
-2.324 6.826 1.618
-6.349 -0.302 3.770
1.210 1.473 7.140
Li Pr Al Cu
3 2 1 12
direct
0.500 0.000 0.000
0.000 0.500 0.000
0.000 0.000 0.500
0.597 0.597 0.597
0.403 0.403 0.403
0.000 0.000 0.000
0.390 0.390 0.018
0.846 0.846 0.334
0.334 0.846 0.846
0.018 0.390 0.390
0.846 0.334 0.846
0.390 0.018 0.390
0.610 0.610 0.982
0.154 0.154 0.666
0.666 0.154 0.154
0.982 0.610 0.610
0.154 0.666 0.154
0.610 0.982 0.610

---

Rb5PuO8, relaxed, DFT PBE-GGA; formation energy from raw total energies = -1585 meV/atom; ρ = 4.787 g/cm³; symmetry = I-4, No. 82
1.0
6.714 0.427 -2.334
-3.278 5.875 -2.334
-0.233 -0.427 7.104
Rb Pu O
5 1 8
direct
0.912 0.249 0.886
0.751 0.637 0.663
0.363 0.026 0.114
0.500 0.500 0.000
0.974 0.088 0.337
0.250 0.750 0.500
0.031 0.698 0.194
0.302 0.496 0.333
0.551 0.933 0.446
0.067 0.514 0.618
0.896 0.449 0.382
0.163 0.969 0.667
0.504 0.837 0.806
0.486 0.104 0.554

---

Ac2Pr4NdSm2, relaxed, DFT PBE-GGA; energy of formation = 0.27 eV per formula unit; ρ = 7.179 g/cm³; symmetry = C2/m, No. 12
1.0
3.789 0.000 0.000
-1.894 9.780 -0.496
0.000 -3.891 9.327
Ac Pr Nd Sm
2 4 1 2
direct
0.852 0.704 0.331
0.148 0.296 0.669
0.817 0.635 0.672
0.183 0.365 0.328
0.517 0.035 0.323
0.483 0.965 0.677
0.000 0.000 0.000
0.334 0.668 0.996
0.666 0.332 0.004

---

AlTlMo, relaxed, DFT PBE-GGA; energy of formation = 1.46 eV per formula unit; ρ = 9.325 g/cm³; symmetry = Fmm2, No. 42
1.0
-3.376 1.137 -6.265
-1.152 -0.613 -7.009
-2.101 -2.037 -0.009
Tl Mo Al
1 1 1
direct
0.673 0.673 0.327
0.348 0.348 0.652
0.979 0.979 0.021

---

Na2CdTc, relaxed, DFT PBE-GGA; energy of formation = 3.78 eV per formula unit; ρ = 4.318 g/cm³; symmetry = I-42d, No. 122
1.0
-0.453 -3.158 7.694
4.452 -6.600 -2.447
4.397 -3.520 3.322
Na Tc Cd
4 2 2
direct
0.629 0.125 0.250
0.121 0.625 0.250
0.375 0.371 0.750
0.875 0.879 0.750
0.500 0.500 0.000
0.250 0.750 0.500
0.000 0.000 0.000
0.750 0.250 0.500

---

In2AsWN, relaxed, DFT PBE-GGA; formation energy from raw total energies = 640 meV/atom; ρ = 8.463 g/cm³; symmetry = P4/mmm, No. 123
1.0
5.025 0.000 0.000
0.000 3.905 0.000
0.000 0.000 5.025
As N W In
1 1 1 2
direct
0.500 0.500 0.500
0.000 0.000 0.000
0.000 0.500 0.000
0.000 0.000 0.500
0.500 0.000 0.000

---

TlPb4Se5, relaxed, DFT PBE-GGA; formation energy from raw total energies = -499 meV/atom; ρ = 8.000 g/cm³; symmetry = I4/mmm, No. 139
1.0
-1.908 -3.390 1.975
-1.437 -1.439 -3.859
14.703 -5.935 -0.797
Tl Pb Se
1 4 5
direct
0.000 0.000 0.000
0.400 0.400 0.799
0.801 0.801 0.601
0.199 0.199 0.399
0.600 0.600 0.201
0.101 0.101 0.203
0.500 0.500 0.000
0.899 0.899 0.797
0.300 0.300 0.601
0.700 0.700 0.399

---

IrRh2Br, relaxed, DFT PBE-GGA; formation energy from raw total energies = 568 meV/atom; ρ = 12.385 g/cm³; symmetry = Pm, No. 6
1.0
-0.762 1.072 4.254
1.635 -2.238 0.857
4.735 1.927 0.362
Ir Rh Br
1 2 1
direct
0.500 0.775 0.842
0.000 0.245 0.925
0.500 0.041 0.314
0.000 0.438 0.419

---

Tb12InCo5, relaxed, DFT PBE-GGA; energy of formation = -4.11 eV per formula unit; ρ = 8.681 g/cm³; symmetry = Immm, No. 71
1.0
7.781 0.018 -2.949
-4.054 6.838 -2.460
0.014 -0.018 8.321
Tb In Co
12 1 5
direct
0.520 0.814 0.706
0.480 0.186 0.294
0.892 0.186 0.706
0.108 0.814 0.294
0.695 0.685 0.380
0.305 0.315 0.620
0.305 0.685 0.990
0.695 0.315 0.010
0.808 0.602 0.794
0.192 0.398 0.206
0.192 0.986 0.794
0.808 0.014 0.206
0.000 0.500 0.500
0.621 0.621 0.000
0.379 0.379 0.000
0.500 0.112 0.612
0.500 0.888 0.388
0.000 0.000 0.000

---

LuScTlCu, relaxed, DFT PBE-GGA; energy of formation = -0.94 eV per formula unit; ρ = 9.300 g/cm³; symmetry = F-43m, No. 216
1.0
-0.192 1.504 -4.739
3.857 -0.831 -3.032
-0.389 -3.349 -3.659
Sc Tl Lu Cu
1 1 1 1
direct
0.500 0.500 0.500
0.750 0.750 0.750
0.000 0.000 0.000
0.250 0.250 0.250